# 1
DFT (SCAN) results for a crystal of DyMg2 relaxed with PBEsol.

Cell: 5.1865 5.1865 3.2168 Å, 90.00 90.00 120.00°
Last column: nearest neighbours and their distance in Å.
Space group P6/mmm (No. 191)
Symmetry-distinct sites (fractional):
Dy 0.0000 0.0000 0.0000 [1 per cell]  2 Dy 3.22, 12 Mg 3.40
Mg 0.3333 0.6667 0.5000 [2 per cell]  5 Mg 2.99-3.22

Output
Raw total energy ... -19.318 eV per atom
Magnetic moment ... 0.01 μB per cell
DFT formation energy ... -0.070 eV/atom

# 2
DFT (SCAN) results for a crystal of MgOsCl2 relaxed with PBEsol.

Cell: 4.3163 4.3163 15.2419 Å, 90.00 90.00 90.00°
Last column: nearest neighbours and their distance in Å.
Space group I-42d (No. 122)
Symmetry-distinct sites (fractional):
Mg 0.0000 0.0000 0.0000 [4 per cell]  4 Cl 2.50
Os 0.0000 0.0000 0.5000 [4 per cell]  4 Cl 2.39
Cl 0.2226 0.2500 0.6250 [8 per cell]  2 Os 2.39, 2 Mg 2.50

Output
Uncorrected formation energy ... 95 kJ/mol of formula units
Raw total energy ... -22.956 eV per atom
Magnetic moment ... 0.00 μB per cell

# 3
DFT (SCAN) results for a crystal of Na2LiMnHg relaxed with PBEsol.

Cell: 5.5369 5.5369 5.0011 Å, 90.00 90.00 90.00°
Last column: nearest neighbours and their distance in Å.
Space group P4/mmm (No. 123)
Symmetry-distinct sites (fractional):
Na 0.0000 0.5000 0.0000 [2 per cell]  2 Hg 2.77
Li 0.0000 0.0000 0.5000 [1 per cell]  2 Hg 2.50
Mn 0.5000 0.5000 0.5000 [1 per cell]  8 Na 3.73, 4 Li 3.92
Hg 0.0000 0.0000 0.0000 [1 per cell]  2 Li 2.50, 4 Na 2.77

Output
Raw total energy ... -19.117 eV per atom
Magnetic moment ... 5.00 μB per cell
DFT formation energy ... 0.331 eV/atom

# 4
DFT (SCAN) results for a crystal of Na4GeH28Se4O14 relaxed with PBEsol.

Cell: 12.8414 10.8431 8.0655 Å, 90.00 107.37 90.00°
Last column: nearest neighbours and their distance in Å.
Space group C2 (No. 5)
Symmetry-distinct sites (fractional):
Na 0.1469 0.0000 0.0956 [4 per cell]  6 O 2.35-2.45
Na 0.1655 0.7089 0.8188 [4 per cell]  6 O 2.37-2.50
Ge 0.0000 0.2885 0.5000 [2 per cell]  4 Se 2.34-2.38
H 0.0094 0.8895 0.7656 [4 per cell]  1 O 0.98
H 0.0400 0.0293 0.7405 [4 per cell]  1 O 1.00
H 0.0448 0.6334 0.3322 [4 per cell]  1 O 1.00
H 0.0893 0.7634 0.4223 [4 per cell]  1 O 1.01
H 0.0989 0.7566 0.1543 [4 per cell]  1 O 1.00
H 0.1039 0.2747 0.1131 [4 per cell]  1 O 1.00
H 0.1098 0.4686 0.8820 [4 per cell]  1 O 1.00
H 0.1159 0.2324 0.9293 [4 per cell]  1 O 0.99
H 0.1480 0.9418 0.5789 [4 per cell]  1 O 1.00
H 0.1685 0.5021 0.0762 [4 per cell]  1 O 0.98
H 0.1727 0.5179 0.5484 [4 per cell]  1 O 1.00
H 0.2209 0.7566 0.1631 [4 per cell]  1 O 1.00
H 0.2296 0.1066 0.4393 [4 per cell]  1 O 1.00
H 0.2490 0.8568 0.5943 [4 per cell]  1 O 1.00
Se 0.0570 0.4156 0.3031 [4 per cell]  5 H 2.29-2.46, 1 Ge 2.38
Se 0.1444 0.1587 0.6447 [4 per cell]  4 H 2.22-2.41, 1 Ge 2.34
O 0.0097 0.9730 0.8130 [4 per cell]  2 H 0.98-1.00
O 0.0367 0.7246 0.3166 [4 per cell]  2 H 1.00-1.01
O 0.1420 0.2164 0.0556 [4 per cell]  2 H 0.99-1.00
O 0.1481 0.7835 0.0858 [4 per cell]  2 H 1.00
O 0.1700 0.8534 0.5857 [4 per cell]  2 H 1.00
O 0.1769 0.5085 0.9597 [4 per cell]  2 H 0.98-1.00
O 0.2260 0.5716 0.6323 [4 per cell]  2 H 1.00

Output
Raw total energy ... -6.941 eV per atom
Magnetic moment ... 0.00 μB per cell

# 5
DFT (SCAN) results for a crystal of Ca3AlP3 relaxed with PBEsol.

Cell: 7.9953 7.1689 11.2266 Å, 90.00 99.29 90.00°
Last column: nearest neighbours and their distance in Å.
Space group P2_1/c (No. 14)
Symmetry-distinct sites (fractional):
Ca 0.0935 0.2385 0.0816 [4 per cell]  6 P 2.88-3.10
Ca 0.2172 0.7426 0.2206 [4 per cell]  4 P 2.79-3.07, 1 Al 3.00
Ca 0.4006 0.1830 0.8826 [4 per cell]  4 P 2.79-2.99, 2 Al 3.10-3.11
Al 0.3167 0.5810 0.9637 [4 per cell]  4 P 2.33-2.48
P 0.1005 0.0754 0.3381 [4 per cell]  1 Al 2.33
P 0.2477 0.6064 0.4914 [4 per cell]  1 Al 2.34
P 0.4353 0.0736 0.6428 [4 per cell]  2 Al 2.36-2.48

Output
Raw total energy ... -10.946 eV per atom
Magnetic moment ... 0.00 μB per cell
DFT formation energy ... -1.241 eV/atom

# 6
DFT (SCAN) results for a crystal of La2FeTc relaxed with PBEsol.

Cell: 3.9036 3.9036 23.0004 Å, 90.00 90.00 120.00°
Last column: nearest neighbours and their distance in Å.
Space group R3m (No. 160, hexagonal axes)
Symmetry-distinct sites (fractional):
La 0.0000 0.0000 0.0000 [3 per cell]  3 Fe 2.86
La 0.0000 0.0000 0.1811 [3 per cell]  3 Tc 2.91
Fe 0.0000 0.0000 0.7435 [3 per cell]  3 Tc 2.32
Tc 0.0000 0.0000 0.4344 [3 per cell]  3 Fe 2.32

Output
Raw total energy ... -34.736 eV per atom
Magnetic moment ... 4.66 μB per cell
DFT formation energy ... 0.114 eV/atom

Copy entry 5 word for word.
DFT (SCAN) results for a crystal of Ca3AlP3 relaxed with PBEsol.

Cell: 7.9953 7.1689 11.2266 Å, 90.00 99.29 90.00°
Last column: nearest neighbours and their distance in Å.
Space group P2_1/c (No. 14)
Symmetry-distinct sites (fractional):
Ca 0.0935 0.2385 0.0816 [4 per cell]  6 P 2.88-3.10
Ca 0.2172 0.7426 0.2206 [4 per cell]  4 P 2.79-3.07, 1 Al 3.00
Ca 0.4006 0.1830 0.8826 [4 per cell]  4 P 2.79-2.99, 2 Al 3.10-3.11
Al 0.3167 0.5810 0.9637 [4 per cell]  4 P 2.33-2.48
P 0.1005 0.0754 0.3381 [4 per cell]  1 Al 2.33
P 0.2477 0.6064 0.4914 [4 per cell]  1 Al 2.34
P 0.4353 0.0736 0.6428 [4 per cell]  2 Al 2.36-2.48

Output
Raw total energy ... -10.946 eV per atom
Magnetic moment ... 0.00 μB per cell
DFT formation energy ... -1.241 eV/atom